The following is a PBE+U calculation of a relaxed structure of Co3BF, from Alexandria via LeMat-Bulk.

It has space group Pm-3m (No. 221), with a = 3.8843 Å, b = 3.8843 Å, c = 3.8843 Å, α = 90.00°, β = 90.00° and γ = 90.00°. The distinct sites, in fractional coordinates, are Co at (0.0000, 0.0000, 0.5000), B at (0.0000, 0.0000, 0.0000) and F at (0.5000, 0.5000, 0.5000).

For the total energy, the calculation gives -4.427 eV per atom. The density of states at the Fermi level comes out at 3.0 states/eV/cell. The calculated volume is 58.6 Å³/f.u.